Entry from the Alexandria database: Mn2BiClO after structural relaxation (PBE with a Hubbard U).

Values from the calculation:
The calculation puts the density of states at the Fermi level at 1.38 states/eV per cell. As for the space group: No. 123. The final energy comes out at -5.48 eV/atom.

The structure in CIF format:
```
data_Mn2BiClO
_cell_length_a 4.184
_cell_length_b 6.125
_cell_length_c 4.184
_cell_angle_alpha 90.00
_cell_angle_beta 90.00
_cell_angle_gamma 90.00
_space_group_name_H-M_alt 'P 1'
_space_group_IT_number 1
loop_
_space_group_symop_operation_xyz
'x,y,z'
loop_
_atom_site_label
_atom_site_type_symbol
_atom_site_fract_x
_atom_site_fract_y
_atom_site_fract_z
Cl1 Cl 0.000 0.500 0.000
Mn1 Mn 0.500 0.000 0.000
Bi1 Bi 0.500 0.500 0.500
Mn2 Mn 0.000 0.000 0.500
O1 O 0.000 0.000 0.000
```